[1]
# CoAg2Ir, single point on PBEsol structure, DFT SCAN
data_CoAg2Ir
_symmetry_space_group_name_H-M 'C 1 2/m 1'
_symmetry_Int_Tables_number 12
_cell_length_a 5.262
_cell_length_b 9.463
_cell_length_c 2.660
_cell_angle_alpha 90.00
_cell_angle_beta 118.12
_cell_angle_gamma 90.00
loop_
_symmetry_equiv_pos_as_xyz
'x,y,z'
'-x,-y,-z'
'-x,y,-z'
'x,-y,z'
'x+1/2,y+1/2,z'
'-x+1/2,-y+1/2,-z'
'-x+1/2,y+1/2,-z'
'x+1/2,-y+1/2,z'
loop_
_atom_site_label
_atom_site_type_symbol
_atom_site_fract_x
_atom_site_fract_y
_atom_site_fract_z
Co1 Co 0.000 0.000 0.000
Ag1 Ag 0.250 0.250 0.500
Ir1 Ir 0.000 0.500 0.000
# Raw total energy, eV per cell: -298.98
# Formation energy, eV per atom: 0.412
# Distance to the lowest polymorph of the same formula, kJ/mol of formula units: 3
# Magnetization, μB/f.u.: 2.62

***

[2]
# CoAgIr2, single point on PBEsol structure, DFT SCAN
data_CoAgIr2
_symmetry_space_group_name_H-M 'P 4/m m m'
_symmetry_Int_Tables_number 123
_symmetry_space_group_name_Hall '-P 4 2'
_cell_length_a 2.666
_cell_length_b 2.666
_cell_length_c 7.677
_cell_angle_alpha 90.00
_cell_angle_beta 90.00
_cell_angle_gamma 90.00
loop_
_atom_site_label
_atom_site_type_symbol
_atom_site_fract_x
_atom_site_fract_y
_atom_site_fract_z
Co1 Co 0.000 0.000 0.000
Ag1 Ag 0.000 0.000 0.500
Ir1 Ir 0.500 0.500 0.218
# Raw total energy, eV per cell: -189.59
# Formation energy, eV per atom: 0.320
# Distance to the lowest polymorph of the same formula, kJ/mol of formula units: 63
# Magnetization, μB/f.u.: 0.00

***

[3]
# CoAgIr2, single point on PBEsol structure, DFT SCAN
data_CoAgIr2
_symmetry_space_group_name_H-M 'C m m m'
_symmetry_Int_Tables_number 65
_symmetry_space_group_name_Hall '-C 2 2'
_cell_length_a 2.701
_cell_length_b 4.592
_cell_length_c 9.128
_cell_angle_alpha 90.00
_cell_angle_beta 90.00
_cell_angle_gamma 90.00
loop_
_atom_site_label
_atom_site_type_symbol
_atom_site_fract_x
_atom_site_fract_y
_atom_site_fract_z
Co1 Co 0.000 0.000 0.000
Ag1 Ag 0.000 0.000 0.500
Ir1 Ir 0.000 0.500 0.229
# Raw total energy, eV per cell: -379.70
# Formation energy, eV per atom: 0.255
# Distance to the lowest polymorph of the same formula, kJ/mol of formula units: 38
# Magnetization, μB/f.u.: 3.12

***

[4]
# CoAgIr2, single point on PBEsol structure, DFT SCAN
data_CoAgIr2
_symmetry_space_group_name_H-M 'P 1 2/m 1'
_symmetry_Int_Tables_number 10
_cell_length_a 2.660
_cell_length_b 4.461
_cell_length_c 4.771
_cell_angle_alpha 90.00
_cell_angle_beta 94.09
_cell_angle_gamma 90.00
loop_
_symmetry_equiv_pos_as_xyz
'x,y,z'
'-x,-y,-z'
'-x,y,-z'
'x,-y,z'
loop_
_atom_site_label
_atom_site_type_symbol
_atom_site_fract_x
_atom_site_fract_y
_atom_site_fract_z
Co1 Co 0.000 0.000 0.000
Ag1 Ag 0.500 0.000 0.500
Ir1 Ir 0.209 0.500 0.765
# Raw total energy, eV per cell: -189.54
# Formation energy, eV per atom: 0.333
# Distance to the lowest polymorph of the same formula, kJ/mol of formula units: 68
# Magnetization, μB/f.u.: 3.14

***

[5]
# CoAg2Ir, single point on PBEsol structure, DFT SCAN
data_CoAg2Ir
_symmetry_space_group_name_H-M 'I m m 2'
_symmetry_Int_Tables_number 44
_cell_length_a 2.742
_cell_length_b 4.651
_cell_length_c 9.191
_cell_angle_alpha 90.00
_cell_angle_beta 90.00
_cell_angle_gamma 90.00
loop_
_symmetry_equiv_pos_as_xyz
'x,y,z'
'-x,-y,z'
'-x,y,z'
'x,-y,z'
'x+1/2,y+1/2,z+1/2'
'-x+1/2,-y+1/2,z+1/2'
'-x+1/2,y+1/2,z+1/2'
'x+1/2,-y+1/2,z+1/2'
loop_
_atom_site_label
_atom_site_type_symbol
_atom_site_fract_x
_atom_site_fract_y
_atom_site_fract_z
Co1 Co 0.000 0.000 0.000
Ag1 Ag 0.000 0.000 0.482
Ag2 Ag 0.000 0.500 0.251
Ir1 Ir 0.000 0.500 0.715
# Raw total energy, eV per cell: -298.75
# Formation energy, eV per atom: 0.441
# Distance to the lowest polymorph of the same formula, kJ/mol of formula units: 14
# Magnetization, μB/f.u.: 2.19

***

[6]
# CoAg3Ir, single point on PBEsol structure, DFT SCAN
data_CoAg3Ir
_symmetry_space_group_name_H-M 'P m -3 m'
_symmetry_Int_Tables_number 221
_symmetry_space_group_name_Hall '-P 4 2 3'
_cell_length_a 4.910
_cell_length_b 4.910
_cell_length_c 4.910
_cell_angle_alpha 90.00
_cell_angle_beta 90.00
_cell_angle_gamma 90.00
loop_
_atom_site_label
_atom_site_type_symbol
_atom_site_fract_x
_atom_site_fract_y
_atom_site_fract_z
Co1 Co 0.000 0.000 0.000
Ag1 Ag 0.000 0.500 0.500
Ir1 Ir 0.500 0.500 0.500
# Raw total energy, eV per cell: -174.42
# Formation energy, eV per atom: 1.616
# Magnetization, μB/f.u.: 3.32